(1)
Computed, not measured: a geometry-optimized ScAg2SbSe4 structure at the PBE-GGA level of DFT.

Lattice parameters (Å, degrees): 6.2022 6.2045 7.5758 66.00 65.96 89.95
Last column: nearest neighbours and their distance in Å.
Space group P1 (No. 1)
Asymmetric unit:
Sc  0.0000  0.0000  0.0000 x1  4 Se 2.59-2.60
Ag  0.4998  0.5008  0.9998 x1  4 Se 2.69
Ag  0.7502  0.2496  0.4998 x1  4 Se 2.68
Sb  0.2494  0.7491  0.5000 x1  4 Se 2.77-2.78
Se  0.1189  0.1314  0.2378 x1  1 Sc 2.59, 2 Ag 2.68-2.69, 1 Sb 2.78
Se  0.3695  0.8832  0.7604 x1  1 Sc 2.60, 2 Ag 2.68-2.69, 1 Sb 2.77
Se  0.6452  0.6317  0.2383 x1  1 Sc 2.60, 2 Ag 2.68-2.69, 1 Sb 2.77
Se  0.8686  0.3549  0.7628 x1  1 Sc 2.59, 2 Ag 2.68-2.69, 1 Sb 2.78

Raw formation energy   -0.526 eV per atom


(2)
Computed, not measured: a geometry-optimized Dy2MgGe3Rh4 structure at the PBE-GGA level of DFT.

Lattice parameters (Å, degrees): 4.0938 4.0938 10.8052 90.00 90.00 90.00
Last column: nearest neighbours and their distance in Å.
Space group P-4m2 (No. 115)
Asymmetric unit:
Dy  0.0000  0.5000  0.2403 x2  6 Ge 3.14-3.47, 8 Rh 3.14-3.31, 2 Mg 3.47
Mg  0.0000  0.0000  0.5000 x1  4 Rh 2.59, 4 Ge 2.89
Ge  0.0000  0.5000  0.8718 x2  5 Rh 2.44-2.47
Ge  0.5000  0.5000  0.5000 x1  4 Rh 2.59, 4 Mg 2.89
Rh  0.0000  0.0000  0.0000 x1  4 Ge 2.47
Rh  0.0000  0.5000  0.6464 x2  3 Ge 2.44-2.59, 2 Mg 2.59
Rh  0.5000  0.5000  0.0000 x1  4 Ge 2.47

Density of states at the Fermi level   7.325 states/eV/f.u.
ΔH_f (0 K)   -0.819 eV/atom